Record 1
A plane-wave DFT calculation with PBE-GGA was carried out for a relaxed structure of Mn2ZnNi.

Formation energy (eV per atom): 0.03
SG: Pmm2, No. 25
Density (Mg/m³): 7.4
Total magnetization (μB per atom): 1.899
Fermi-level density of states (states/eV/f.u.): 2.35

Geometry as POSCAR:
```
Mn2ZnNi
1.0
4.2068 0.0000 0.0000
0.0000 2.9661 0.0012
0.0000 -0.0016 4.2070
Mn Zn Ni
2 1 1
direct
0.0000 0.1249 0.8771
0.5000 0.1250 0.3731
0.5000 0.6250 0.8721
0.0000 0.6250 0.3777
```

=====

Record 2
A plane-wave DFT calculation with PBE-GGA was carried out for a relaxed structure of MnZn2Ni.

Formation energy (eV per atom): -0.07
SG: I-4m2, No. 119
Density (Mg/m³): 7.8
Total magnetization (μB per atom): 0.895
Fermi-level density of states (states/eV/f.u.): 2.27

Geometry as POSCAR:
```
MnZn2Ni
1.0
4.4203 -0.0007 0.0000
1.0263 4.2995 0.0000
-2.7233 -2.1494 2.7391
Ni Zn Mn
1 2 1
direct
0.7500 0.2500 0.5000
0.0000 0.0000 0.0000
0.2500 0.7500 0.5000
0.5000 0.5000 0.0000
```

=====

Record 3
A plane-wave DFT calculation with PBE-GGA was carried out for a relaxed structure of Mn2Zn12Ni.

Formation energy (eV per atom): 0.04
SG: Pmmm, No. 47
Density (Mg/m³): 7.0
Total magnetization (μB per atom): 0.440
Fermi-level density of states (states/eV/f.u.): 7.20

Geometry as POSCAR:
```
Mn2Zn12Ni
1.0
-3.9157 1.3712 2.8196
-3.3649 -3.6258 0.8327
9.8243 -5.3826 16.2613
Ni Zn Mn
2 24 4
direct
0.0000 0.5000 0.0000
0.5000 0.0000 0.0000
0.5000 0.5000 0.3112
0.2500 0.2500 0.8866
0.2497 0.7497 0.4357
0.2498 0.2502 0.6155
0.0000 0.0000 0.6888
0.7502 0.7498 0.6155
0.7500 0.2500 0.9346
0.7497 0.2497 0.5643
0.2502 0.2498 0.3845
0.2500 0.7500 0.0654
0.0000 0.0000 0.1877
0.7500 0.7500 0.8866
0.5000 0.5000 0.1877
0.7503 0.2503 0.4357
0.7500 0.2500 0.0654
0.7500 0.7500 0.1134
0.0000 0.0000 0.3112
0.2500 0.7500 0.9346
0.5000 0.5000 0.6888
0.7498 0.7502 0.3845
0.2503 0.7503 0.5643
0.0000 0.0000 0.8123
0.2500 0.2500 0.1134
0.5000 0.5000 0.8123
0.0000 0.5000 0.2484
0.0000 0.5000 0.7516
0.5000 0.0000 0.7516
0.5000 0.0000 0.2484
```